Entry 1:
# KSi4O9 (PBE, optimized geometry)
# Formation energy (no corrections) = -2403 meV per atom
# Crystal system = hexagonal
data_KSi4O9
_cell_length_a 5.2493
_cell_length_b 5.2493
_cell_length_c 7.7809
_cell_angle_alpha 90.00
_cell_angle_beta 90.00
_cell_angle_gamma 120.00
_symmetry_space_group_name_H-M 'P 6/m m m'
_symmetry_Int_Tables_number 191
_symmetry_space_group_name_Hall '-P 6 2'
loop_
_atom_site_label
_atom_site_fract_x
_atom_site_fract_y
_atom_site_fract_z
K1 0.0000 0.0000 0.0000
Si1 0.3333 0.6667 0.2950
O1 0.0000 0.0000 0.5000
O2 0.0000 0.5000 0.2134
O3 0.3333 0.6667 0.5000

Entry 2:
# SrSc3Ta (PBE, optimized geometry)
# Crystal system = cubic
# Formation energy = 0.49 eV/atom
data_SrSc3Ta
_cell_length_a 5.314
_cell_length_b 5.314
_cell_length_c 5.314
_cell_angle_alpha 90.00
_cell_angle_beta 90.00
_cell_angle_gamma 90.00
_symmetry_space_group_name_H-M 'P m -3 m'
_symmetry_Int_Tables_number 221
_symmetry_space_group_name_Hall '-P 4 2 3'
loop_
_atom_site_label
_atom_site_fract_x
_atom_site_fract_y
_atom_site_fract_z
Sr1 0.000 0.000 0.000
Sc1 0.000 0.500 0.500
Ta1 0.500 0.500 0.500

Entry 3:
# Ta2BCl (PBE, optimized geometry)
# Formation energy (no corrections) = 535 meV per atom
# Crystal system = tetragonal
data_Ta2BCl
_cell_length_a 5.195
_cell_length_b 5.195
_cell_length_c 10.866
_cell_angle_alpha 90.00
_cell_angle_beta 90.00
_cell_angle_gamma 90.00
_symmetry_space_group_name_H-M 'I -4 2 d'
_symmetry_Int_Tables_number 122
_symmetry_space_group_name_Hall 'I -4 2bw'
loop_
_atom_site_label
_atom_site_fract_x
_atom_site_fract_y
_atom_site_fract_z
Ta1 0.182 0.250 0.125
B1 0.000 0.000 0.000
Cl1 0.000 0.000 0.500

Entry 4:
# Be2AsW (PBE, optimized geometry)
# Crystal system = cubic
# Formation energy = 0.69 eV/atom
data_Be2AsW
_cell_length_a 5.933
_cell_length_b 5.933
_cell_length_c 5.933
_cell_angle_alpha 90.00
_cell_angle_beta 90.00
_cell_angle_gamma 90.00
_symmetry_space_group_name_H-M 'F -4 3 m'
_symmetry_Int_Tables_number 216
_symmetry_space_group_name_Hall 'F -4 2 3'
loop_
_atom_site_label
_atom_site_fract_x
_atom_site_fract_y
_atom_site_fract_z
Be1 0.000 0.000 0.000
Be2 0.250 0.250 0.250
As1 0.250 0.250 0.750
W1 0.000 0.000 0.500

Entry 5:
# Nb6SiRh12 (PBE, optimized geometry)
# Formation energy (no corrections) = -388 meV per atom
# Crystal system = trigonal
data_Nb6SiRh12
_cell_length_a 12.1577
_cell_length_b 12.1577
_cell_length_c 6.8470
_cell_angle_alpha 90.00
_cell_angle_beta 90.00
_cell_angle_gamma 120.00
_symmetry_space_group_name_H-M 'R -3'
_symmetry_Int_Tables_number 148
_symmetry_space_group_name_Hall '-R 3'
loop_
_atom_site_label
_atom_site_fract_x
_atom_site_fract_y
_atom_site_fract_z
Nb1 0.0237 0.7587 0.3538
Si1 0.0000 0.0000 0.0000
Rh1 0.0118 0.8736 0.6693
Rh2 0.0677 0.5058 0.6698

Entry 6:
# Pu2ScHg6 (PBE, optimized geometry)
# Crystal system = hexagonal
# Formation energy = -0.19 eV/atom
data_Pu2ScHg6
_cell_length_a 8.7811
_cell_length_b 8.7811
_cell_length_c 3.1618
_cell_angle_alpha 90.00
_cell_angle_beta 90.00
_cell_angle_gamma 120.00
_symmetry_space_group_name_H-M 'P 6/m m m'
_symmetry_Int_Tables_number 191
_symmetry_space_group_name_Hall '-P 6 2'
loop_
_atom_site_label
_atom_site_fract_x
_atom_site_fract_y
_atom_site_fract_z
Pu1 0.3333 0.6667 0.0000
Sc1 0.0000 0.0000 0.0000
Hg1 0.0000 0.3285 0.5000